Entry 1:
A relaxed structure of Pr3SmHg, computed with GGA-PBE.

Properties
**Space-group type**: C2/m, No. 12
**Formation enthalpy at 0 K**: -1.83 kcal/mol of atoms
**Crystal system**: monoclinic
**DOS at the Fermi energy**: 11.10 states/eV/cell

Structure (CIF):
```
data_Pr3SmHg
_chemical_formula_sum 'Pr6 Sm2 Hg2'
_space_group_name_H-M_alt 'P 1'
_space_group_IT_number 1
_space_group_name_Hall 'P 1'
_cell_length_a 7.010
_cell_length_b 7.010
_cell_length_c 8.208
_cell_angle_alpha 108.06
_cell_angle_beta 108.06
_cell_angle_gamma 66.83
loop_
_atom_site_label
_atom_site_type_symbol
_atom_site_fract_x
_atom_site_fract_y
_atom_site_fract_z
_atom_site_occupancy
Pr1 Pr 0.054 0.054 0.237 1
Pr2 Pr 0.089 0.585 0.352 1
Pr3 Pr 0.415 0.911 0.648 1
Pr4 Pr 0.585 0.089 0.352 1
Pr5 Pr 0.911 0.415 0.648 1
Pr6 Pr 0.946 0.946 0.763 1
Sm1 Sm 0.441 0.441 0.759 1
Sm2 Sm 0.559 0.559 0.241 1
Hg1 Hg 0.258 0.258 0.999 1
Hg2 Hg 0.742 0.742 0.001 1
```

***

Entry 2:
A relaxed structure of PrSm6Hg3, computed with GGA-PBE.

Properties
**Space-group type**: P2_1/m, No. 11
**Formation enthalpy at 0 K**: -3.83 kcal/mol of atoms
**Crystal system**: monoclinic
**DOS at the Fermi energy**: 27.71 states/eV/cell

Structure (CIF):
```
data_PrSm6Hg3
_chemical_formula_sum 'Pr2 Sm12 Hg6'
_space_group_name_H-M_alt 'P 1'
_space_group_IT_number 1
_space_group_name_Hall 'P 1'
_cell_length_a 10.887
_cell_length_b 5.129
_cell_length_c 11.232
_cell_angle_alpha 90.00
_cell_angle_beta 102.56
_cell_angle_gamma 90.00
loop_
_atom_site_label
_atom_site_type_symbol
_atom_site_fract_x
_atom_site_fract_y
_atom_site_fract_z
_atom_site_occupancy
Pr1 Pr 0.212 0.250 0.171 1
Pr2 Pr 0.788 0.750 0.829 1
Sm1 Sm 0.055 0.750 0.629 1
Sm2 Sm 0.125 0.750 0.958 1
Sm3 Sm 0.210 0.750 0.386 1
Sm4 Sm 0.294 0.250 0.829 1
Sm5 Sm 0.411 0.750 0.176 1
Sm6 Sm 0.467 0.750 0.615 1
Sm7 Sm 0.533 0.250 0.385 1
Sm8 Sm 0.589 0.250 0.824 1
Sm9 Sm 0.706 0.750 0.171 1
Sm10 Sm 0.790 0.250 0.614 1
Sm11 Sm 0.875 0.250 0.042 1
Sm12 Sm 0.945 0.250 0.371 1
Hg1 Hg 0.012 0.250 0.825 1
Hg2 Hg 0.273 0.250 0.545 1
Hg3 Hg 0.469 0.750 0.909 1
Hg4 Hg 0.531 0.250 0.091 1
Hg5 Hg 0.727 0.750 0.455 1
Hg6 Hg 0.988 0.750 0.175 1
```

***

Per-record total magnetization, μB/cell: 0.0 0.0